No. 1
A relaxed H2I3F crystal. Source: the Alexandria database, functional PBE.

Output
Space group: C2/c, No. 15
Total magnetic moment, μB/f.u.: 0.000
DFT total energy, eV for the cell shown: -28.7

Structure (CIF):
```
data_H2I3F
_symmetry_space_group_name_H-M 'P 1'
_symmetry_Int_Tables_number 1
_symmetry_space_group_name_Hall 'P 1'
_cell_length_a 8.4248
_cell_length_b 8.4249
_cell_length_c 11.4916
_cell_angle_alpha 103.36
_cell_angle_beta 82.47
_cell_angle_gamma 149.72
loop_
_atom_site_label
_atom_site_type_symbol
_atom_site_fract_x
_atom_site_fract_y
_atom_site_fract_z
H1 H 0.8381 0.1034 0.4946
H2 H 0.3912 0.1565 0.9946
H3 H 0.6088 0.8435 0.0054
H4 H 0.1619 0.8966 0.5054
I1 I 0.5137 0.7637 0.2500
I2 I 0.4863 0.2363 0.7500
I3 I 0.1992 0.9629 0.1033
I4 I 0.8596 0.5959 0.3967
I5 I 0.1404 0.4041 0.6033
I6 I 0.8008 0.0371 0.8967
F1 F 0.9498 0.6998 0.7500
F2 F 0.0502 0.3002 0.2500
```

=====

No. 2
A relaxed Si2RuO crystal. Source: the Alexandria database, functional PBE.

Output
Space group: I-42d, No. 122
Total magnetic moment, μB/f.u.: 0.000
ΔE_f (raw), meV per atom: -583

Structure (CIF):
```
data_Si2RuO
_symmetry_space_group_name_H-M 'P 1'
_symmetry_Int_Tables_number 1
_symmetry_space_group_name_Hall 'P 1'
_cell_length_a 5.4895
_cell_length_b 5.4895
_cell_length_c 5.1172
_cell_angle_alpha 57.56
_cell_angle_beta 57.56
_cell_angle_gamma 90.00
loop_
_atom_site_label
_atom_site_type_symbol
_atom_site_fract_x
_atom_site_fract_y
_atom_site_fract_z
Ru1 Ru 0.0000 0.0000 0.0000
Ru2 Ru 0.7500 0.2500 0.5000
Si1 Si 0.5640 0.1250 0.2500
Si2 Si 0.1860 0.6250 0.2500
Si3 Si 0.3750 0.4360 0.7500
Si4 Si 0.8750 0.8140 0.7500
O1 O 0.5000 0.5000 0.0000
O2 O 0.2500 0.7500 0.5000
```

=====

Question: What is the total magnetic moment in the second record?
Answer: 0.000 μB/f.u.